VASP calculation (GGA-PBE) on crystalline ScSnSb2 at its relaxed geometry.

Computed properties:
Uncorrected formation energy = -0.150 eV per atom
Density of states at the Fermi level = 10.8 states/eV per cell

```
8
Lattice="-5.459 3.179 -2.131 -3.630 -5.477 1.129 -5.775 0.967 5.808" Properties=species:S:1:pos:R:3 pbc="T T T"
Sn 0.000 0.000 0.000
Sn -7.889 1.498 1.588
Sb -12.247 -1.228 3.468
Sb -7.778 -0.194 3.992
Sb -4.452 -2.751 1.869
Sb -5.253 1.511 0.284
Sc -4.545 -1.149 -0.501
Sc -6.975 -2.830 3.218
```